Density functional theory data (PBE-GGA) for crystalline AcTbNdDy3 at its relaxed geometry.

Structure (CIF):
```
data_AcTbNdDy3
_space_group_name_H-M_alt 'P 1'
_space_group_IT_number 1
_cell_length_a 5.703
_cell_length_b 10.628
_cell_length_c 7.240
_cell_angle_alpha 89.66
_cell_angle_beta 90.00
_cell_angle_gamma 105.56
loop_
_space_group_symop_operation_xyz
'x,y,z'
loop_
_atom_site_label
_atom_site_type_symbol
_atom_site_fract_x
_atom_site_fract_y
_atom_site_fract_z
Ac1 Ac 0.357 0.714 0.973
Ac2 Ac 0.643 0.286 0.027
Dy1 Dy 0.781 0.562 0.755
Dy2 Dy 0.479 0.958 0.278
Dy3 Dy 0.170 0.339 0.724
Dy4 Dy 0.830 0.661 0.276
Dy5 Dy 0.219 0.438 0.245
Dy6 Dy 0.521 0.042 0.722
Nd1 Nd 0.057 0.113 0.292
Nd2 Nd 0.943 0.887 0.708
Tb1 Tb 0.653 0.305 0.470
Tb2 Tb 0.347 0.695 0.530
```

Energy relative to the elements = 0.23 eV per atom
Total moment = 0.000 μB/f.u.